# PBE-GGA YSc2As3, optimized geometry
# Energy of formation in meV per atom: -1414
# Uncorrected energy in eV per atom: -6.93
# Volume in Å³/cell: 265
data_YSc2As3
_chemical_formula_sum 'Y2 Sc4 As6'
_cell_length_a 3.962
_cell_length_b 5.630
_cell_length_c 11.875
_cell_angle_alpha 90.00
_cell_angle_beta 90.00
_cell_angle_gamma 90.00
_space_group_name_H-M_alt 'I m m m'
_space_group_IT_number 71
_space_group_name_Hall '-I 2 2'
loop_
_atom_site_label
_atom_site_fract_x
_atom_site_fract_y
_atom_site_fract_z
_atom_site_occupancy
Y1 0.000 0.000 0.000 1
Sc1 0.000 0.000 0.335 1
As1 0.000 0.500 0.000 1
As2 0.000 0.500 0.325 1